CaCe2PrSb4: optimized geometry, PBE-GGA.

Structure (CIF):
```
data_CaCe2PrSb4
_cell_length_a 7.808
_cell_length_b 4.533
_cell_length_c 7.849
_cell_angle_alpha 90.00
_cell_angle_beta 109.57
_cell_angle_gamma 90.00
_space_group_name_H-M_alt 'P 1 2/m 1'
_space_group_IT_number 10
_space_group_name_Hall '-P 2y'
loop_
_atom_site_label
_atom_site_fract_x
_atom_site_fract_y
_atom_site_fract_z
_atom_site_occupancy
Ca1 0.000 0.000 0.000 1
Ce1 0.500 0.000 0.500 1
Ce2 0.500 0.500 0.000 1
Pr1 0.000 0.500 0.500 1
Sb1 0.257 0.000 0.752 1
Sb2 0.259 0.500 0.253 1
```

Calculated density, Mg/m³: 6.016
Raw formation energy, meV/atom: -1053
N(E_F), states/eV/atom: 1.06